# Sc2VTe PBE optimized geometry
# Formation energy (no corrections) in meV/atom: 194
data_Sc2VTe
_space_group_name_H-M_alt 'I -4 2 d'
_space_group_IT_number 122
_space_group_name_Hall 'I -4 2bw'
_cell_length_a 4.229
_cell_length_b 4.229
_cell_length_c 20.504
_cell_angle_alpha 90.00
_cell_angle_beta 90.00
_cell_angle_gamma 90.00
loop_
_atom_site_label
_atom_site_fract_x
_atom_site_fract_y
_atom_site_fract_z
Sc1 0.244 0.250 0.125
V1 0.000 0.000 0.500
Te1 0.000 0.000 0.000